Material: ScAg4
Method: DFT, PBE
State: optimized geometry

Values from the calculation:
* energy of formation from the pure elements: 43 meV per atom
* SG: I4/mmm
* VASP energy: -0.2575 Ry per atom
* crystal system: tetragonal
* magnetization: 0.00 μB per cell

Cell: 7.4166 7.4166 7.4166 Å, 149.93 149.93 43.04°
Positions (direct):
Sc 0.0000 0.0000 0.0000
Ag 0.2500 0.7500 0.5000
Ag 0.4023 0.4023 0.0000
Ag 0.5977 0.5977 0.0000
Ag 0.7500 0.2500 0.5000